Sr3In4Pb4 | Alexandria via LeMat-Bulk | PBE | optimized geometry; ΔE_f = -313 meV per atom; D(E_F) = 0.46 states/eV per atom; theoretical density = 7.0 g/cm³; magnetization = 0.0 μB per formula unit
1.0
-2.516 4.278 8.526
2.516 -4.278 8.526
2.516 4.278 -8.526
Sr In Pb
3 4 4
Cartesian
0.000 0.000 0.000 Sr
2.516 0.000 6.429 Sr
0.000 4.278 2.097 Sr
2.516 1.758 -2.945 In
2.516 1.758 2.945 In
0.000 2.520 5.581 In
0.000 2.520 11.471 In
0.000 0.000 3.667 Pb
2.516 2.678 0.000 Pb
0.000 1.601 8.526 Pb
0.000 0.000 13.385 Pb